[1]
! PBE-GGA Li3SmY2Te6, relaxed; values from VASP
&SYSTEM
  ibrav = 0, nat = 12, ntyp = 4
/
ATOMIC_SPECIES
Y 88.91 Y.upf
Sm 150.36 Sm.upf
Li 6.94 Li.upf
Te 127.60 Te.upf
CELL_PARAMETERS angstrom
7.567 -0.001 0.001
-3.783 6.554 0.001
-1.262 -2.185 7.070
ATOMIC_POSITIONS crystal
Y 0.667 0.333 0.000
Y 0.333 0.667 0.000
Sm 0.000 0.000 0.000
Li 0.834 0.166 0.500
Li 0.166 0.834 0.500
Li 0.500 0.500 0.500
Te 0.748 0.748 0.257
Te 0.086 0.423 0.257
Te 0.914 0.577 0.743
Te 0.577 0.914 0.743
Te 0.252 0.252 0.743
Te 0.423 0.086 0.257
! * VASP energy: -4.82 eV per atom
! * formation energy from raw total energies: -1.3036 eV/atom
! * theoretical density: 5.28 g cm⁻³

[2]
! PBE-GGA Rb2ZnHAu, relaxed; values from VASP
&SYSTEM
  ibrav = 0, nat = 10, ntyp = 4
/
ATOMIC_SPECIES
Rb 85.47 Rb.upf
H 1.01 H.upf
Zn 65.41 Zn.upf
Au 196.97 Au.upf
CELL_PARAMETERS angstrom
4.873 0.000 0.000
0.000 6.853 -0.255
0.000 -3.244 9.598
ATOMIC_POSITIONS crystal
Rb 0.750 0.771 0.034
Rb 0.250 0.178 0.389
Rb 0.250 0.229 0.966
Rb 0.750 0.822 0.611
H 0.250 0.777 0.826
H 0.750 0.223 0.174
Zn 0.250 0.507 0.740
Zn 0.750 0.493 0.260
Au 0.250 0.619 0.289
Au 0.750 0.381 0.711
! * VASP energy: -2.10 eV per atom
! * theoretical density: 4.56 g cm⁻³